Entry 1:
# Ba3Ag5Cl12

An optimized crystal structure of Ba3Ag5Cl12 (PBE-GGA, Alexandria).

Lattice parameters (Å, degrees): 14.525 14.525 14.525 109.47 109.47 109.47
Sites, in units of the cell vectors:
Ba1 0.125 0.250 0.375
Ba2 0.125 0.375 0.750
Ba3 0.250 0.375 0.125
Ba4 0.250 0.875 0.625
Ba5 0.375 0.125 0.250
Ba6 0.375 0.750 0.125
Ba7 0.625 0.250 0.875
Ba8 0.625 0.875 0.750
Ba9 0.750 0.125 0.375
Ba10 0.750 0.625 0.875
Ba11 0.875 0.625 0.250
Ba12 0.875 0.750 0.625
Ag1 0.000 0.000 0.000
Ag2 0.000 0.000 0.500
Ag3 0.000 0.500 0.000
Ag4 0.000 0.500 0.500
Ag5 0.125 0.750 0.875
Ag6 0.125 0.875 0.250
Ag7 0.250 0.125 0.875
Ag8 0.250 0.625 0.375
Ag9 0.375 0.250 0.625
Ag10 0.375 0.625 0.750
Ag11 0.500 0.000 0.000
Ag12 0.500 0.000 0.500
Ag13 0.500 0.500 0.000
Ag14 0.500 0.500 0.500
Ag15 0.625 0.375 0.250
Ag16 0.625 0.750 0.375
Ag17 0.750 0.375 0.625
Ag18 0.750 0.875 0.125
Ag19 0.875 0.125 0.750
Ag20 0.875 0.250 0.125
Cl1 0.034 0.210 0.124
Cl2 0.034 0.325 0.911
Cl3 0.086 0.710 0.675
Cl4 0.086 0.876 0.411
Cl5 0.089 0.624 0.414
Cl6 0.089 0.966 0.675
Cl7 0.124 0.034 0.210
Cl8 0.124 0.589 0.914
Cl9 0.175 0.210 0.586
Cl10 0.175 0.466 0.589
Cl11 0.210 0.124 0.034
Cl12 0.210 0.586 0.175
Cl13 0.290 0.325 0.914
Cl14 0.290 0.466 0.376
Cl15 0.325 0.911 0.034
Cl16 0.325 0.914 0.290
Cl17 0.376 0.290 0.466
Cl18 0.376 0.586 0.911
Cl19 0.411 0.086 0.876
Cl20 0.411 0.825 0.534
Cl21 0.414 0.089 0.624
Cl22 0.414 0.825 0.790
Cl23 0.466 0.376 0.290
Cl24 0.466 0.589 0.175
Cl25 0.534 0.411 0.825
Cl26 0.534 0.624 0.710
Cl27 0.586 0.175 0.210
Cl28 0.586 0.911 0.376
Cl29 0.589 0.175 0.466
Cl30 0.589 0.914 0.124
Cl31 0.624 0.414 0.089
Cl32 0.624 0.710 0.534
Cl33 0.675 0.086 0.710
Cl34 0.675 0.089 0.966
Cl35 0.710 0.534 0.624
Cl36 0.710 0.675 0.086
Cl37 0.790 0.414 0.825
Cl38 0.790 0.876 0.966
Cl39 0.825 0.534 0.411
Cl40 0.825 0.790 0.414
Cl41 0.876 0.411 0.086
Cl42 0.876 0.966 0.790
Cl43 0.911 0.034 0.325
Cl44 0.911 0.376 0.586
Cl45 0.914 0.124 0.589
Cl46 0.914 0.290 0.325
Cl47 0.966 0.675 0.089
Cl48 0.966 0.790 0.876

Entry 2:
# BaAg2Cl

An optimized crystal structure of BaAg2Cl (PBE-GGA, Alexandria).

Lattice parameters (Å, degrees): 4.796 4.796 7.299 108.28 108.28 60.12
Sites, in units of the cell vectors:
Ba1 0.000 0.000 0.000
Ag1 0.441 0.441 0.340
Ag2 0.772 0.772 0.330
Cl1 0.269 0.269 0.796

Entry 3:
# Ba2AgCl

An optimized crystal structure of Ba2AgCl (PBE-GGA, Alexandria).

Lattice parameters (Å, degrees): 4.261 4.124 8.934 90.00 90.23 90.00
Sites, in units of the cell vectors:
Ba1 0.003 0.000 0.223
Ba2 0.997 0.000 0.777
Ag1 0.500 0.500 0.000
Cl1 0.000 0.500 0.500

Entry 4:
# BaAgCl4

An optimized crystal structure of BaAgCl4 (PBE-GGA, Alexandria).

Lattice parameters (Å, degrees): 6.128 6.128 6.128 60.00 60.00 60.00
Sites, in units of the cell vectors:
Ba1 0.000 0.000 0.000
Ag1 0.250 0.250 0.250
Cl1 0.127 0.624 0.624
Cl2 0.624 0.127 0.624
Cl3 0.624 0.624 0.127
Cl4 0.624 0.624 0.624

Entry 5:
# Ba2AgCl

An optimized crystal structure of Ba2AgCl (PBE-GGA, Alexandria).

Lattice parameters (Å, degrees): 8.814 8.814 8.814 151.98 151.46 40.43
Sites, in units of the cell vectors:
Ba1 0.000 0.000 0.000
Ba2 0.750 0.250 0.500
Ag1 0.408 0.408 0.000
Cl1 0.173 0.673 0.500

Entry 6:
# BaAg2Cl

An optimized crystal structure of BaAg2Cl (PBE-GGA, Alexandria).

Lattice parameters (Å, degrees): 6.113 6.113 6.113 48.73 48.73 48.73
Sites, in units of the cell vectors:
Ba1 0.000 0.000 0.000
Ag1 0.215 0.215 0.215
Ag2 0.785 0.785 0.785
Cl1 0.500 0.500 0.500

Entry 7:
# BaAg2Cl

An optimized crystal structure of BaAg2Cl (PBE-GGA, Alexandria).

Lattice parameters (Å, degrees): 4.336 4.230 6.190 90.00 90.47 90.00
Sites, in units of the cell vectors:
Ba1 0.000 0.000 0.000
Ag1 0.000 0.500 0.500
Ag2 0.500 0.000 0.500
Cl1 0.500 0.500 0.000

Entry 8:
# Ba2AgCl6

An optimized crystal structure of Ba2AgCl6 (PBE-GGA, Alexandria).

Lattice parameters (Å, degrees): 6.965 6.965 13.277 90.00 90.00 90.00
Sites, in units of the cell vectors:
Ba1 0.000 0.000 0.166
Ba2 0.000 0.000 0.834
Ba3 0.500 0.500 0.334
Ba4 0.500 0.500 0.666
Ag1 0.000 0.000 0.500
Ag2 0.500 0.500 0.000
Cl1 0.179 0.179 0.360
Cl2 0.179 0.179 0.640
Cl3 0.206 0.206 0.000
Cl4 0.294 0.706 0.500
Cl5 0.321 0.679 0.140
Cl6 0.321 0.679 0.860
Cl7 0.679 0.321 0.140
Cl8 0.679 0.321 0.860
Cl9 0.706 0.294 0.500
Cl10 0.794 0.794 0.000
Cl11 0.821 0.821 0.360
Cl12 0.821 0.821 0.640

The records above yield formation energy from raw total energies values of -1367 -766 -955 -565 -908 -244 -724 -1693 meV per atom, respectively.